A geometry-optimized CsCr2W structure, computed with PBE.

abc: 6.9586 6.9586 6.9586
angles: 90.00 90.00 90.00
Space group Fm-3m (No. 225)
Asymmetric unit:
1 Cs 0.0000 0.0000 0.0000 x4
2 Cr 0.2500 0.2500 0.2500 x8
3 W 0.0000 0.0000 0.5000 x4

## Properties
- total magnetic moment (μB/f.u.) = 5.2
- N(E_F) (states/eV per cell) = 8.67
- energy of formation (meV/atom) = 1969